{"formula": "AlP4Cl", "functional": "PBEsol", "state": "relaxed", "volume_a3_per_cell": 125.6, "dft_energy_ev_per_atom": -4.71, "formation_energy_uncorrected_ev_per_atom": 0.166, "lattice_angstrom": [[0.0000, 3.9747, 3.9747], [3.9747, 0.0000, 3.9747], [3.9747, 3.9747, 0.0000]], "species": ["Al", "P", "P", "P", "P", "Cl"], "fractional_positions": [[0.0000, 0.0000, 0.0000], [0.4020, 0.4020, 0.4020], [0.4020, 0.4020, 0.7939], [0.4020, 0.7939, 0.4020], [0.7939, 0.4020, 0.4020], [0.7500, 0.7500, 0.7500]]}